{
  "formula": "CsInSe2",
  "functional": "PBE",
  "state": "relaxed",
  "formation_energy_uncorrected_ev_per_atom": -0.893,
  "crystal_system": "orthorhombic",
  "lattice": [[-0.4531, -4.8683, 5.4415], [6.9854, -7.2888, -5.9394], [5.7794, 2.9766, 3.1443]],
  "species": ["Se", "Se", "Se", "Se", "Se", "Se", "Se", "Se", "In", "In", "In", "In", "Cs", "Cs", "Cs", "Cs"],
  "fractional_positions": [[0.1141, 0.3222, 0.5697], [0.0195, 0.9222, 0.6364], [0.5195, 0.5778, 0.6364], [0.6141, 0.1778, 0.5697], [0.3859, 0.8222, 0.0697], [0.9805, 0.0778, 0.1364], [0.8859, 0.6778, 0.0697], [0.4805, 0.4222, 0.1364], [0.4599, 0.3746, 0.4953], [0.0401, 0.8746, 0.9953], [0.9599, 0.1254, 0.4953], [0.5401, 0.6254, 0.9953], [0.9851, 0.3766, 0.0484], [0.4851, 0.1234, 0.0484], [0.5149, 0.8766, 0.5484], [0.0149, 0.6234, 0.5484]]
}

---

{
  "formula": "HfPaPbO6",
  "functional": "PBE",
  "state": "relaxed",
  "formation_energy_uncorrected_ev_per_atom": -2.732,
  "crystal_system": "trigonal",
  "lattice": [[-4.9399, 1.1236, -2.7351], [4.0545, -3.1788, -2.5694], [-3.9303, -8.0707, 3.7830]],
  "species": ["O", "O", "O", "O", "O", "O", "O", "O", "O", "O", "O", "O", "Hf", "Hf", "Pb", "Pb", "Pa", "Pa"],
  "fractional_positions": [[0.6344, 0.6453, 0.6393], [0.0109, 0.6453, 0.8607], [0.0109, 0.3656, 0.6393], [0.6453, 0.6344, 0.1393], [0.3547, 0.3656, 0.8607], [0.3656, 0.3547, 0.3607], [0.3547, 0.9891, 0.6393], [0.6344, 0.9891, 0.8607], [0.3656, 0.0109, 0.1393], [0.9891, 0.6344, 0.3607], [0.6453, 0.0109, 0.3607], [0.9891, 0.3547, 0.1393], [0.3333, 0.6667, 0.7500], [0.6667, 0.3333, 0.2500], [0.0000, 0.0000, 0.0000], [0.0000, 0.0000, 0.5000], [0.6667, 0.3333, 0.7500], [0.3333, 0.6667, 0.2500]]
}